# 1
An optimized crystal structure of Li2ScOs, computed with PBE.

The structure in POSCAR format:
```
Li2ScOs
1.0
-1.112 -2.397 0.256
3.712 -1.486 2.217
-2.133 1.478 4.563
Li Os Sc
2 1 1
direct
0.000 0.000 0.038
0.000 0.000 0.462
0.500 0.500 0.250
0.500 0.500 0.750
```

Output
- Electronic total energy: -5.1470 eV per atom
- Offset from the most stable computed form: 161 meV per atom

***

# 2
An optimized crystal structure of Li2ScOs, computed with PBE.

The structure in POSCAR format:
```
Li2ScOs
1.0
-1.079 -1.223 2.142
2.676 -0.250 -0.163
1.102 8.350 5.323
Li Os Sc
2 1 1
direct
0.000 0.000 0.029
0.000 0.000 0.471
0.500 0.500 0.250
0.500 0.500 0.750
```

Output
- Electronic total energy: -4.9837 eV per atom
- Offset from the most stable computed form: 324 meV per atom

***

# 3
An optimized crystal structure of Li2ScOs, computed with PBE.

The structure in POSCAR format:
```
Li2ScOs
1.0
-3.780 -3.443 -1.119
4.345 -1.571 2.459
-1.158 0.502 2.366
Li Os Sc
2 1 1
direct
0.000 0.000 0.000
0.500 0.500 0.000
0.500 0.000 0.500
0.000 0.500 0.500
```

Output
- Electronic total energy: -5.0792 eV per atom
- Offset from the most stable computed form: 228 meV per atom

***

# 4
An optimized crystal structure of Li4ScOs, computed with PBE.

The structure in POSCAR format:
```
Li4ScOs
1.0
0.441 -3.127 3.842
2.596 1.351 4.020
-2.355 0.964 4.273
Li Sc Os
4 1 1
direct
0.865 0.378 0.378
0.378 0.378 0.865
0.378 0.865 0.378
0.378 0.378 0.378
0.000 0.000 0.000
0.750 0.750 0.750
```

Output
- Electronic total energy: -3.9805 eV per atom

***

Number 1: E_form 0.20 eV per atom, density of states at the Fermi level 3.01 states/eV/f.u., calculated density 6.49 g cm⁻³. Number 2: E_form 0.36 eV per atom, density of states at the Fermi level 4.54 states/eV/f.u., calculated density 6.26 g cm⁻³. Number 3: E_form 0.27 eV per atom, density of states at the Fermi level 3.30 states/eV/f.u., calculated density 6.51 g cm⁻³. Number 4: E_form 0.22 eV per atom, density of states at the Fermi level 4.91 states/eV/f.u., calculated density 5.02 g cm⁻³.